[1]
DFT (meta-GGA SCAN) results for a crystal of CoPtBr2 relaxed with PBEsol.

Results
* energy relative to the elements, uncorrected: -0.02 eV per atom
* polymorph energy (0 for the lowest one): 0 meV per atom
* ρ: 8.5 g/cm³

Cell lengths 3.617, 3.617, 7.439 Å; angles 75.93, 75.93, 60.00 degrees
Each line ends with the local moment (μB).
Positions (direct):
Co 0.492 0.492 0.525  1.20
Br 0.029 0.029 0.914  -0.06
Br 0.213 0.213 0.360  0.00
Pt 0.766 0.766 0.701  -0.08

[2]
DFT (meta-GGA SCAN) results for a crystal of RbCoBr3 relaxed with PBEsol.

Results
* energy relative to the elements, uncorrected: -1.14 eV per atom
* ρ: 4.6 g/cm³

Cell lengths 6.036, 7.271, 7.271 Å; angles 120.00, 90.00, 90.00 degrees
Each line ends with the local moment (μB).
Positions (direct):
Rb 0.750 0.333 0.667  0.00
Rb 0.250 0.667 0.333  0.00
Co 0.500 0.000 0.000  2.51
Co 0.000 0.000 0.000  2.51
Br 0.250 0.678 0.839  0.10
Br 0.750 0.322 0.161  0.10
Br 0.250 0.161 0.322  0.10
Br 0.750 0.839 0.678  0.10
Br 0.250 0.161 0.839  0.10
Br 0.750 0.839 0.161  0.10

[3]
DFT (meta-GGA SCAN) results for a crystal of Rb2CoBr4 relaxed with PBEsol.

Results
* energy relative to the elements, uncorrected: -1.41 eV per atom
* ρ: 3.9 g/cm³

Cell lengths 7.408, 9.668, 13.128 Å; angles 90.00, 90.00, 90.00 degrees
Each line ends with the local moment (μB).
Positions (direct):
Rb 0.750 0.873 0.916  0.00
Rb 0.250 0.127 0.084  0.00
Rb 0.750 0.373 0.584  0.00
Rb 0.250 0.627 0.416  0.00
Rb 0.750 0.521 0.168  0.00
Rb 0.250 0.479 0.832  0.00
Rb 0.750 0.021 0.332  0.00
Rb 0.250 0.979 0.668  0.00
Co 0.750 0.770 0.575  2.49
Co 0.750 0.270 0.925  2.49
Co 0.250 0.730 0.075  2.49
Co 0.250 0.230 0.425  2.49
Br 0.493 0.173 0.849  0.07
Br 0.993 0.827 0.151  0.07
Br 0.007 0.673 0.651  0.07
Br 0.507 0.327 0.349  0.07
Br 0.493 0.673 0.651  0.07
Br 0.507 0.827 0.151  0.07
Br 0.993 0.327 0.349  0.07
Br 0.007 0.173 0.849  0.07
Br 0.250 0.988 0.405  0.06
Br 0.750 0.012 0.595  0.06
Br 0.250 0.488 0.095  0.06
Br 0.750 0.512 0.905  0.06
Br 0.250 0.314 0.594  0.07
Br 0.750 0.686 0.406  0.07
Br 0.250 0.814 0.906  0.07
Br 0.750 0.186 0.094  0.07

[4]
DFT (meta-GGA SCAN) results for a crystal of Co2ReBr relaxed with PBEsol.

Results
* energy relative to the elements, uncorrected: 0.86 eV per atom
* polymorph energy (0 for the lowest one): 0 meV per atom
* ρ: 11.6 g/cm³

Cell lengths 2.816, 2.816, 8.142 Å; angles 80.04, 80.04, 60.00 degrees
Each line ends with the local moment (μB).
Positions (direct):
Re 0.494 0.494 0.517  -0.04
Co 0.004 0.004 0.987  1.90
Co 0.747 0.747 0.759  1.88
Br 0.254 0.254 0.238  0.06

[5]
DFT (meta-GGA SCAN) results for a crystal of Co2ReBr relaxed with PBEsol.

Results
* energy relative to the elements, uncorrected: 1.50 eV per atom
* polymorph energy (0 for the lowest one): 639 meV per atom
* ρ: 12.0 g/cm³

Cell lengths 4.217, 4.217, 4.217 Å; angles 60.00, 60.00, 60.00 degrees
Positions (direct):
Re 0.500 0.500 0.500
Co 0.250 0.250 0.250
Co 0.750 0.750 0.750
Br 0.000 0.000 0.000

[6]
DFT (meta-GGA SCAN) results for a crystal of CoRh2Br relaxed with PBEsol.

Results
* energy relative to the elements, uncorrected: 0.60 eV per atom
* polymorph energy (0 for the lowest one): 47 meV per atom
* ρ: 9.7 g/cm³

Cell lengths 2.794, 2.775, 8.772 Å; angles 90.00, 90.00, 120.23 degrees
Each line ends with the local moment (μB).
Positions (direct):
Co 0.500 0.000 0.000  2.19
Rh 0.000 0.000 0.771  0.37
Rh 0.000 0.000 0.229  0.37
Br 0.500 0.000 0.500  0.01

[7]
DFT (meta-GGA SCAN) results for a crystal of CoRh2Br relaxed with PBEsol.

Results
* energy relative to the elements, uncorrected: 0.65 eV per atom
* polymorph energy (0 for the lowest one): 99 meV per atom
* ρ: 10.1 g/cm³

Cell lengths 2.869, 4.443, 4.443 Å; angles 90.00, 90.00, 90.00 degrees
Each line ends with the local moment (μB).
Positions (direct):
Co 0.500 0.000 0.000  2.26
Rh 0.000 0.000 0.500  0.61
Rh 0.000 0.500 0.000  0.61
Br 0.500 0.500 0.500  0.06

[8]
DFT (meta-GGA SCAN) results for a crystal of CoRhBr2 relaxed with PBEsol.

Results
* energy relative to the elements, uncorrected: 0.71 eV per atom
* ρ: 8.4 g/cm³

Cell lengths 4.487, 4.487, 4.487 Å; angles 60.00, 60.00, 60.00 degrees
Each line ends with the local moment (μB).
Positions (direct):
Co 0.000 0.000 0.000  2.17
Rh 0.500 0.500 0.500  -0.72
Br 0.750 0.750 0.750  0.03
Br 0.250 0.250 0.250  0.03